Below is ZnCd4Ag3 after structural relaxation, with properties calculated at the PBE level.

Cell lengths 2.9802, 5.7195, 9.9725 Å; angles 106.66, 98.59, 90.00 degrees
Fractional coordinates of all 8 atoms:
Zn (0.5000, 0.0000, 0.0000)
Cd (0.3755, 0.1286, 0.7510)
Cd (0.6245, 0.8714, 0.2490)
Cd (0.6245, 0.3776, 0.2490)
Cd (0.3755, 0.6224, 0.7510)
Ag (0.2390, 0.2390, 0.4780)
Ag (0.7610, 0.7610, 0.5220)
Ag (0.0000, 0.5000, 0.0000)

Summary:
total magnetic moment: 0.0 μB/f.u.
symmetry: Immm, No. 71
density of states at the Fermi level: 2.18 states/eV/cell
energy of formation: 55 meV/atom